This record from Alexandria via LeMat-Bulk describes a relaxed structure of Dy3Er6Pu. The functional is PBE-GGA.

Cell lengths 6.1825, 6.6270, 8.3158 Å; angles 77.04, 68.21, 89.92 degrees
Last column: nearest neighbours and their distance in Å.
Space group P1 (No. 1)
Inequivalent atoms, fractional coordinates:
Dy: 0.0000 0.0000 0.0000  1 Pu 3.44, 9 Er 3.46-3.60, 2 Dy 3.49-3.58
Dy: 0.2107 0.4004 0.5951  1 Pu 3.44, 9 Er 3.44-3.61, 2 Dy 3.48-3.58
Dy: 0.7696 0.6905 0.8026  9 Er 3.45-3.62, 2 Dy 3.48-3.49, 1 Pu 3.51
Er: 0.1737 0.4954 0.0029  5 Er 3.45-3.62, 5 Dy 3.46-3.58, 2 Pu 3.53-3.57
Er: 0.3743 0.9034 0.5956  5 Dy 3.44-3.62, 6 Er 3.45-3.62, 1 Pu 3.52
Er: 0.4059 0.7979 0.1998  6 Er 3.45-3.60, 4 Dy 3.47-3.60, 2 Pu 3.47
Er: 0.6051 0.1936 0.8033  1 Pu 3.45, 6 Dy 3.45-3.61, 5 Er 3.47-3.58
Er: 0.8005 0.5947 0.3988  1 Pu 3.44, 7 Er 3.45-3.60, 4 Dy 3.49-3.59
Er: 0.9753 0.0992 0.3972  7 Er 3.46-3.57, 3 Dy 3.46-3.61, 2 Pu 3.55-3.57
Pu: 0.5725 0.2981 0.1989  9 Er 3.44-3.57, 3 Dy 3.44-3.51

E_tot	-5.5190	eV/atom
E_form	3.14	kJ per mole of atoms